(1)
This record from the Alexandria database describes an optimized crystal structure of Sr3FeAu. The functional is PBE-GGA.

* energy above the most stable polymorph in this dataset: 0.00 eV per formula unit
* DOS(E_F): 14.057 states/eV/cell

a = 5.9787 Å, b = 5.9787 Å, c = 5.9787 Å
α = 90.00°, β = 90.00°, γ = 90.00°
Closest atoms and distances in Å follow each position.
Sites, in units of the cell vectors:
Sr  0.0000  0.0000  0.5000  2 Au 2.99
Sr  0.0000  0.5000  0.0000  2 Au 2.99
Sr  0.5000  0.0000  0.0000  2 Au 2.99
Fe  0.5000  0.5000  0.5000  12 Sr 4.23
Au  0.0000  0.0000  0.0000  6 Sr 2.99

(2)
This record from the Alexandria database describes an optimized crystal structure of RbSiH2. The functional is PBE-GGA.

* energy above the most stable polymorph in this dataset: 1.50 eV per formula unit
* DOS(E_F): 3.789 states/eV/cell

a = 6.6128 Å, b = 6.6128 Å, c = 6.6128 Å
α = 135.25°, β = 135.25°, γ = 65.14°
Closest atoms and distances in Å follow each position.
Sites, in units of the cell vectors:
Rb  0.0000  0.0000  0.0000  8 H 3.13-3.15
Rb  0.7500  0.2500  0.5000  8 H 3.13-3.15
Si  0.2500  0.7500  0.5000  4 H 1.88
Si  0.5000  0.5000  0.0000  4 H 1.88
H  0.3731  0.6250  0.2481  2 Si 1.88
H  0.3750  0.6231  0.7481  2 Si 1.88
H  0.3769  0.1250  0.7519  2 Si 1.88
H  0.8750  0.6269  0.2519  2 Si 1.88